Record 1
OsAu2, optimized geometry, DFT PBE; theoretical density = 19.0 g/cm3; spin magnetization = 2.0 μB/cell; energy above the most stable polymorph in this dataset = 351 meV/atom; space-group type = No. 189
1.0
8.0460 0.0000 0.0000
-4.0230 6.9680 0.0000
0.0000 0.0000 2.7332
Os Au
3 6
Direct
0.0000 0.0000 0.0000 Os
0.3333 0.6667 0.5000 Os
0.6667 0.3333 0.5000 Os
0.0000 0.2958 0.5000 Au
0.0000 0.6235 0.0000 Au
0.2958 0.0000 0.5000 Au
0.3765 0.3765 0.0000 Au
0.6235 0.0000 0.0000 Au
0.7042 0.7042 0.5000 Au

---

Record 2
OsAu5, optimized geometry, DFT PBE; theoretical density = 17.3 g/cm3; spin magnetization = 2.6 μB/cell; energy above the most stable polymorph in this dataset = 455 meV/atom; space-group type = No. 216
1.0
0.0000 3.8349 3.8349
3.8349 0.0000 3.8349
3.8349 3.8349 0.0000
Os Au
1 5
Direct
0.0000 0.0000 0.0000 Os
0.1248 0.6251 0.6251 Au
0.2500 0.2500 0.2500 Au
0.6251 0.1248 0.6251 Au
0.6251 0.6251 0.1248 Au
0.6251 0.6251 0.6251 Au

---

Record 3
Os3Au, optimized geometry, DFT PBE; theoretical density = 21.2 g/cm3; spin magnetization = 0.0 μB/cell; energy above the most stable polymorph in this dataset = 272 meV/atom; space-group type = No. 65
1.0
5.5332 0.0000 0.0000
0.0000 7.8241 0.0000
0.0000 0.0000 2.7759
Os Au
6 2
Direct
0.0000 0.0000 0.0000 Os
0.2500 0.2500 0.5000 Os
0.2500 0.7500 0.5000 Os
0.5000 0.5000 0.0000 Os
0.7500 0.2500 0.5000 Os
0.7500 0.7500 0.5000 Os
0.0000 0.5000 0.0000 Au
0.5000 0.0000 0.0000 Au

---

Record 4
OsAu2, optimized geometry, DFT PBE; theoretical density = 15.7 g/cm3; spin magnetization = 1.1 μB/cell; energy above the most stable polymorph in this dataset = 868 meV/atom; space-group type = No. 205
1.0
6.2745 0.0000 0.0000
0.0000 6.2745 0.0000
0.0000 0.0000 6.2745
Os Au
4 8
Direct
0.0000 0.0000 0.0000 Os
0.0000 0.5000 0.5000 Os
0.5000 0.0000 0.5000 Os
0.5000 0.5000 0.0000 Os
0.1375 0.6375 0.8625 Au
0.1375 0.8625 0.3625 Au
0.3625 0.1375 0.8625 Au
0.3625 0.3625 0.3625 Au
0.6375 0.6375 0.6375 Au
0.6375 0.8625 0.1375 Au
0.8625 0.1375 0.6375 Au
0.8625 0.3625 0.1375 Au